# NpGa4Hg PBE optimized geometry
data_NpGa4Hg
_chemical_formula_sum 'Np4 Ga16 Hg4'
_cell_length_a 7.885
_cell_length_b 7.885
_cell_length_c 7.885
_cell_angle_alpha 90.00
_cell_angle_beta 90.00
_cell_angle_gamma 90.00
_symmetry_space_group_name_H-M 'F -4 3 m'
_symmetry_Int_Tables_number 216
_symmetry_space_group_name_Hall 'F -4 2 3'
loop_
_atom_site_label
_atom_site_fract_x
_atom_site_fract_y
_atom_site_fract_z
Np1 0.000 0.000 0.000
Ga1 0.126 0.126 0.626
Hg1 0.250 0.250 0.250
# **Uncorrected energy**: -25.0 eV/f.u.
# **Energy of formation from the pure elements**: 58.4 meV per atom